Record 1
# Ag2RuO (PBE, optimized geometry)
data_Ag2RuO
_chemical_formula_sum 'Ag4 Ru2 O2'
_cell_length_a 8.8670
_cell_length_b 8.8670
_cell_length_c 6.5358
_cell_angle_alpha 47.29
_cell_angle_beta 47.29
_cell_angle_gamma 90.00
_symmetry_space_group_name_H-M 'P 1'
_symmetry_Int_Tables_number 1
_symmetry_space_group_name_Hall 'P 1'
loop_
_atom_site_label
_atom_site_type_symbol
_atom_site_fract_x
_atom_site_fract_y
_atom_site_fract_z
O1 O 0.5000 0.5000 0.0000
O2 O 0.2500 0.7500 0.5000
Ag1 Ag 0.5103 0.1250 0.2500
Ag2 Ag 0.2397 0.6250 0.2500
Ag3 Ag 0.3750 0.4897 0.7500
Ag4 Ag 0.8750 0.7603 0.7500
Ru1 Ru 0.7500 0.2500 0.5000
Ru2 Ru 0.0000 0.0000 0.0000
# VASP energy ... -4.639 eV per atom
# Space group ... No. 122
# Magnetization ... 0.00 Bohr magnetons per cell

Record 2
# AlV2As2 (PBE, optimized geometry)
data_AlV2As2
_chemical_formula_sum 'Al2 V4 As4'
_cell_length_a 6.9989
_cell_length_b 6.9989
_cell_length_c 3.1001
_cell_angle_alpha 90.00
_cell_angle_beta 90.00
_cell_angle_gamma 90.00
_symmetry_space_group_name_H-M 'P 1'
_symmetry_Int_Tables_number 1
_symmetry_space_group_name_Hall 'P 1'
loop_
_atom_site_label
_atom_site_type_symbol
_atom_site_fract_x
_atom_site_fract_y
_atom_site_fract_z
V1 V 0.6495 0.8505 0.5000
V2 V 0.1495 0.6495 0.5000
V3 V 0.3505 0.1495 0.5000
V4 V 0.8505 0.3505 0.5000
As1 As 0.1456 0.3544 0.0000
As2 As 0.8544 0.6456 0.0000
As3 As 0.6456 0.1456 0.0000
As4 As 0.3544 0.8544 0.0000
Al1 Al 0.0000 0.0000 0.0000
Al2 Al 0.5000 0.5000 0.0000
# Space group ... No. 127
# Energy relative to the elements ... -127 meV/atom
# Magnetization ... 0.00 Bohr magnetons per cell

Record 3
# PmAl4Au2 (PBE, optimized geometry)
data_PmAl4Au2
_chemical_formula_sum 'Pm4 Al16 Au8'
_cell_length_a 4.3919
_cell_length_b 6.8934
_cell_length_c 17.4253
_cell_angle_alpha 90.00
_cell_angle_beta 90.00
_cell_angle_gamma 90.00
_symmetry_space_group_name_H-M 'P 1'
_symmetry_Int_Tables_number 1
_symmetry_space_group_name_Hall 'P 1'
loop_
_atom_site_label
_atom_site_type_symbol
_atom_site_fract_x
_atom_site_fract_y
_atom_site_fract_z
Au1 Au 0.2500 0.9737 0.7841
Au2 Au 0.7500 0.0263 0.2159
Au3 Au 0.7500 0.2490 0.4639
Au4 Au 0.2500 0.5263 0.2841
Au5 Au 0.2500 0.7510 0.5361
Au6 Au 0.2500 0.7490 0.0361
Au7 Au 0.7500 0.2510 0.9639
Au8 Au 0.7500 0.4737 0.7159
Al1 Al 0.2500 0.2762 0.6890
Al2 Al 0.2500 0.4768 0.4329
Al3 Al 0.2500 0.6777 0.6844
Al4 Al 0.7500 0.1777 0.8156
Al5 Al 0.7500 0.7762 0.8110
Al6 Al 0.2500 0.1499 0.5350
Al7 Al 0.7500 0.3223 0.3156
Al8 Al 0.2500 0.2238 0.1890
Al9 Al 0.7500 0.6499 0.9650
Al10 Al 0.7500 0.9768 0.0671
Al11 Al 0.2500 0.3501 0.0350
Al12 Al 0.2500 0.0232 0.9329
Al13 Al 0.7500 0.7238 0.3110
Al14 Al 0.2500 0.8223 0.1844
Al15 Al 0.7500 0.5232 0.5671
Al16 Al 0.7500 0.8501 0.4650
Pm1 Pm 0.7500 0.9907 0.6401
Pm2 Pm 0.2500 0.0093 0.3599
Pm3 Pm 0.7500 0.5093 0.1401
Pm4 Pm 0.2500 0.4907 0.8599
# Space group ... No. 62
# Energy relative to the elements ... -593 meV/atom
# Magnetization ... 0.00 Bohr magnetons per cell

Record 4
# Ca3AcHg2 (PBE, optimized geometry)
data_Ca3AcHg2
_chemical_formula_sum 'Ca6 Ac2 Hg4'
_cell_length_a 5.1645
_cell_length_b 7.7928
_cell_length_c 9.8905
_cell_angle_alpha 90.00
_cell_angle_beta 90.00
_cell_angle_gamma 90.00
_symmetry_space_group_name_H-M 'P 1'
_symmetry_Int_Tables_number 1
_symmetry_space_group_name_Hall 'P 1'
loop_
_atom_site_label
_atom_site_type_symbol
_atom_site_fract_x
_atom_site_fract_y
_atom_site_fract_z
Hg1 Hg 0.0000 0.2530 0.6299
Hg2 Hg 0.5000 0.7452 0.8701
Hg3 Hg 0.5000 0.2452 0.1299
Hg4 Hg 0.0000 0.7530 0.3701
Ca1 Ca 0.0000 0.8520 0.6925
Ca2 Ca 0.5000 0.6496 0.1777
Ca3 Ca 0.0000 0.3520 0.3075
Ca4 Ca 0.5000 0.1496 0.8223
Ca5 Ca 0.0000 0.4709 0.9255
Ca6 Ca 0.0000 0.9709 0.0745
Ac1 Ac 0.5000 0.0293 0.4309
Ac2 Ac 0.5000 0.5293 0.5691
# Space group ... No. 26
# Energy relative to the elements ... -379 meV/atom
# Magnetization ... 0.00 Bohr magnetons per cell